Record 1
# YCr2Fe

Crystalline YCr2Fe at its relaxed geometry (GGA-PBE, the Alexandria database).

Summary:
E_form	0.547	eV per atom
distance to the lowest polymorph of the same formula	0.2534	eV per atom
DOS(E_F)	1.187	states/eV per atom
space group	Imm2, No. 44
crystal system	orthorhombic
volume	16.5	A^3/atom

Structure (POSCAR):
```
YCr2Fe
1.0
5.224 0.069 -0.055
2.016 4.819 0.055
-2.963 -3.417 2.615
Cr Fe Y
2 1 1
Direct
0.255 0.755 0.500 Cr
0.031 0.031 0.000 Cr
0.469 0.469 0.000 Fe
0.745 0.245 0.500 Y
```

Record 2
# HoHfOsAu

Crystalline HoHfOsAu at its relaxed geometry (GGA-PBE, the Alexandria database).

Summary:
E_form	-0.441	eV per atom
DOS(E_F)	0.808	states/eV per atom
space group	F-43m, No. 216
crystal system	cubic
volume	19.7	A^3/atom

Structure (POSCAR):
```
HoHfOsAu
1.0
-4.173 1.052 -2.154
-0.441 -0.502 -4.765
-2.732 -3.526 -1.805
Os Ho Au Hf
1 1 1 1
Direct
0.750 0.750 0.750 Os
0.000 0.000 0.000 Ho
0.250 0.250 0.250 Au
0.500 0.500 0.500 Hf
```

Record 3
# LaTb5Ni2

Crystalline LaTb5Ni2 at its relaxed geometry (GGA-PBE, the Alexandria database).

Summary:
E_form	-0.139	eV per atom
DOS(E_F)	1.423	states/eV per atom
space group	Cmcm, No. 63
crystal system	orthorhombic
volume	27.7	A^3/atom

Structure (POSCAR):
```
LaTb5Ni2
1.0
3.674 0.000 0.000
-1.837 6.539 0.000
0.000 0.000 18.475
Tb La Ni
10 2 4
Direct
0.936 0.873 0.592 Tb
0.404 0.809 0.750 Tb
0.596 0.191 0.250 Tb
0.331 0.662 0.444 Tb
0.669 0.338 0.944 Tb
0.936 0.873 0.908 Tb
0.331 0.662 0.056 Tb
0.064 0.127 0.092 Tb
0.669 0.338 0.556 Tb
0.064 0.127 0.408 Tb
0.674 0.347 0.750 La
0.326 0.653 0.250 La
0.281 0.562 0.633 Ni
0.281 0.562 0.867 Ni
0.719 0.438 0.133 Ni
0.719 0.438 0.367 Ni
```

Record 4
# NaHg2Bi2

Crystalline NaHg2Bi2 at its relaxed geometry (GGA-PBE, the Alexandria database).

Summary:
E_form	-0.058	eV per atom
distance to the lowest polymorph of the same formula	0.0619	eV per atom
DOS(E_F)	0.495	states/eV per atom
space group	I4/mmm, No. 139
crystal system	tetragonal
volume	32.4	A^3/atom

Structure (POSCAR):
```
NaHg2Bi2
1.0
4.678 0.000 0.000
0.000 4.678 0.000
2.339 2.339 7.397
Bi Hg Na
2 2 1
Direct
0.250 0.750 0.500 Bi
0.750 0.250 0.500 Bi
0.403 0.403 0.193 Hg
0.597 0.597 0.807 Hg
0.000 0.000 0.000 Na
```

Number 1: E_tot -0.58772 Ry/atom. Number 2: E_tot -0.56601 Ry/atom. Number 3: E_tot -0.37445 Ry/atom. Number 4: E_tot -0.14663 Ry/atom.